(1)
This record from the Alexandria database describes an optimized crystal structure of ScGa2PRh. The functional is PBE.

The theoretical density is 5124 kg/m3. As for the energy relative to the elements: -0.06 eV per formula unit. For the energy, the calculation gives -0.1853 hartree per atom. The value obtained for the magnetization is 0.0000 μB/atom. The density of states at the Fermi level comes out at 4.49 states/eV per cell.

The space group is P4/mmm (No. 123) and the conventional cell measures 4.7516, 4.7516 and 4.5688 Å, with angles of 90.00, 90.00 and 90.00 degrees. The distinct sites, in fractional coordinates, are Sc at (0.0000, 0.0000, 0.0000), Ga at (0.0000, 0.5000, 0.5000), P at (0.5000, 0.5000, 0.0000) and Rh at (0.5000, 0.5000, 0.5000).

(2)
This record from the Alexandria database describes an optimized crystal structure of P3H5Rh12. The functional is PBE.

The theoretical density is 9691 kg/m3. For the energy, the calculation gives -0.2315 hartree per atom. The value obtained for the magnetization is 0.0000 μB/atom. The density of states at the Fermi level comes out at 126.36 states/eV per cell.

The space group is Ia-3d (No. 230) and the conventional cell measures 12.2251, 12.2251 and 12.2251 Å, with angles of 90.00, 90.00 and 90.00 degrees. The distinct sites, in fractional coordinates, are P at (0.0000, 0.2500, 0.1250), H at (0.0000, 0.0000, 0.0000), H at (0.0000, 0.2500, 0.3750) and Rh at (0.0319, 0.0563, 0.6509).

(3)
This record from the Alexandria database describes an optimized crystal structure of Cs2HfHg. The functional is PBE.

The theoretical density is 4036 kg/m3. As for the energy relative to the elements: 3.29 eV per formula unit. For the energy, the calculation gives -0.0796 hartree per atom. For the energy above the most stable polymorph in this dataset, the calculation gives 1.61 eV per formula unit. The value obtained for the magnetization is 0.2165 μB/atom. The density of states at the Fermi level comes out at 22.62 states/eV per cell.

The space group is I-42d (No. 122) and the conventional cell measures 13.9246, 13.9246 and 5.4735 Å, with angles of 90.00, 90.00 and 90.00 degrees. The distinct sites, in fractional coordinates, are Cs at (0.0892, 0.2500, 0.1250), Hf at (0.0000, 0.0000, 0.5000) and Hg at (0.0000, 0.0000, 0.0000).

(4)
This record from the Alexandria database describes an optimized crystal structure of CaGdZn. The functional is PBE.

The theoretical density is 5107 kg/m3. As for the energy relative to the elements: -0.53 eV per formula unit. For the energy, the calculation gives -0.2191 hartree per atom. The value obtained for the magnetization is 2.5699 μB/atom. The density of states at the Fermi level comes out at 7.34 states/eV per cell.

The space group is I4mm (No. 107) and the conventional cell measures 3.6212, 3.6212 and 13.0282 Å, with angles of 90.00, 90.00 and 90.00 degrees. The distinct sites, in fractional coordinates, are Ca at (0.0000, 0.0000, 0.0000), Gd at (0.0000, 0.0000, 0.2751) and Zn at (0.0000, 0.0000, 0.6475).

(5)
This record from the Alexandria database describes an optimized crystal structure of Ti2CdInBr. The functional is PBE.

The theoretical density is 4231 kg/m3. For the energy, the calculation gives -0.1168 hartree per atom. The value obtained for the magnetization is 0.8953 μB/atom. The value obtained for the formation energy without anion corrections is 1.046 eV/atom. The density of states at the Fermi level comes out at 8.84 states/eV per cell.

The space group is P4/mmm (No. 123) and the conventional cell measures 5.3187, 5.3187 and 5.5887 Å, with angles of 90.00, 90.00 and 90.00 degrees. The distinct sites, in fractional coordinates, are Ti at (0.0000, 0.5000, 0.0000), Cd at (0.0000, 0.0000, 0.0000), In at (0.5000, 0.5000, 0.5000) and Br at (0.0000, 0.0000, 0.5000).

(6)
This record from the Alexandria database describes an optimized crystal structure of Nd2ErSe2O2. The functional is PBE.

The theoretical density is 7442 kg/m3. For the energy, the calculation gives -0.2511 hartree per atom. The value obtained for the magnetization is 0.0002 μB/atom. The value obtained for the formation energy without anion corrections is -2.407 eV/atom. The density of states at the Fermi level comes out at 5.21 states/eV per cell.

The space group is I4/mmm (No. 139) and the conventional cell measures 4.2960, 4.2960 and 15.6120 Å, with angles of 90.00, 90.00 and 90.00 degrees. The distinct sites, in fractional coordinates, are Nd at (0.0000, 0.0000, 0.1269), Er at (0.0000, 0.0000, 0.5000), Se at (0.0000, 0.0000, 0.3203) and O at (0.0000, 0.5000, 0.0000).

Which of these has the highest theoretical density? P3H5Rh12

Please write out number 4 again, unchanged.
This record from the Alexandria database describes an optimized crystal structure of CaGdZn. The functional is PBE.

The theoretical density is 5107 kg/m3. As for the energy relative to the elements: -0.53 eV per formula unit. For the energy, the calculation gives -0.2191 hartree per atom. The value obtained for the magnetization is 2.5699 μB/atom. The density of states at the Fermi level comes out at 7.34 states/eV per cell.

The space group is I4mm (No. 107) and the conventional cell measures 3.6212, 3.6212 and 13.0282 Å, with angles of 90.00, 90.00 and 90.00 degrees. The distinct sites, in fractional coordinates, are Ca at (0.0000, 0.0000, 0.0000), Gd at (0.0000, 0.0000, 0.2751) and Zn at (0.0000, 0.0000, 0.6475).

What did the second record say?
This record from the Alexandria database describes an optimized crystal structure of P3H5Rh12. The functional is PBE.

The theoretical density is 9691 kg/m3. For the energy, the calculation gives -0.2315 hartree per atom. The value obtained for the magnetization is 0.0000 μB/atom. The density of states at the Fermi level comes out at 126.36 states/eV per cell.

The space group is Ia-3d (No. 230) and the conventional cell measures 12.2251, 12.2251 and 12.2251 Å, with angles of 90.00, 90.00 and 90.00 degrees. The distinct sites, in fractional coordinates, are P at (0.0000, 0.2500, 0.1250), H at (0.0000, 0.0000, 0.0000), H at (0.0000, 0.2500, 0.3750) and Rh at (0.0319, 0.0563, 0.6509).

Please write out number 3 again, unchanged.
This record from the Alexandria database describes an optimized crystal structure of Cs2HfHg. The functional is PBE.

The theoretical density is 4036 kg/m3. As for the energy relative to the elements: 3.29 eV per formula unit. For the energy, the calculation gives -0.0796 hartree per atom. For the energy above the most stable polymorph in this dataset, the calculation gives 1.61 eV per formula unit. The value obtained for the magnetization is 0.2165 μB/atom. The density of states at the Fermi level comes out at 22.62 states/eV per cell.

The space group is I-42d (No. 122) and the conventional cell measures 13.9246, 13.9246 and 5.4735 Å, with angles of 90.00, 90.00 and 90.00 degrees. The distinct sites, in fractional coordinates, are Cs at (0.0892, 0.2500, 0.1250), Hf at (0.0000, 0.0000, 0.5000) and Hg at (0.0000, 0.0000, 0.0000).